Entry 1:
Compound: TbYEr3Tm
Source: the Alexandria database
Functional: GGA-PBE
Structure: relaxed

Geometry as POSCAR:
```
TbYEr3Tm
1.0
3.5180 0.0000 0.0000
0.0000 10.5968 -0.3010
0.0000 -3.2125 10.0526
Er Y Tb Tm
6 2 2 2
Direct
0.7500 0.8750 0.0410 Er
0.2500 0.6244 0.7914 Er
0.2500 0.1250 0.9590 Er
0.2500 0.6241 0.4578 Er
0.7500 0.3756 0.2086 Er
0.7500 0.3759 0.5422 Er
0.2500 0.1250 0.2922 Y
0.7500 0.8750 0.7078 Y
0.7500 0.3740 0.8744 Tb
0.2500 0.6260 0.1256 Tb
0.7500 0.8745 0.3760 Tm
0.2500 0.1255 0.6240 Tm
```

Output
Its density of states at the Fermi level is 8.62 states/eV/f.u. The total energy comes out at -4.8503 eV per atom.

Entry 2:
Compound: Pu2CrGa
Source: the Alexandria database
Functional: GGA-PBE
Structure: relaxed

Geometry as POSCAR:
```
Pu2CrGa
1.0
-0.3962 4.3508 -0.0920
-2.9910 -0.3350 -2.9621
-2.9563 -0.2056 3.0084
Cr Pu Ga
1 2 1
Direct
0.5000 0.0000 0.0000 Cr
0.0000 0.0000 0.5000 Pu
0.0000 0.5000 0.0000 Pu
0.5000 0.5000 0.5000 Ga
```

Output
Its density of states at the Fermi level is 8.06 states/eV/f.u. The energy relative to the lowest polymorph listed for this composition is 0 meV per atom.

Entry 3:
Compound: LiMgSc2O
Source: the Alexandria database
Functional: GGA-PBE
Structure: relaxed

Geometry as POSCAR:
```
LiMgSc2O
1.0
4.3797 0.0000 0.0000
0.0000 4.3797 0.0000
0.0000 0.0000 4.5418
Sc Mg Li O
2 1 1 1
Direct
0.5000 0.0000 0.0000 Sc
0.0000 0.5000 0.0000 Sc
0.5000 0.5000 0.5000 Mg
0.0000 0.0000 0.5000 Li
0.0000 0.0000 0.0000 O
```

Output
The value obtained for the energy relative to the elements, uncorrected is -1.120 eV per atom. Its density of states at the Fermi level is 4.27 states/eV/f.u.

Entry 4:
Compound: Rb2Ir3S6
Source: the Alexandria database
Functional: GGA-PBE
Structure: relaxed

Geometry as POSCAR:
```
Rb2Ir3S6
1.0
6.0987 0.0000 1.8136
3.0494 5.5092 0.9068
-0.0543 0.0000 7.6019
Ir S Rb
3 6 2
Direct
0.6676 0.6648 0.0000 Ir
0.3324 0.3352 0.0000 Ir
0.0000 0.0000 0.0000 Ir
0.3850 0.6684 0.8445 S
0.6150 0.3316 0.1555 S
0.2832 0.0000 0.1560 S
0.0535 0.3316 0.8445 S
0.7168 0.0000 0.8440 S
0.9465 0.6684 0.1555 S
0.8332 0.3336 0.5000 Rb
0.1668 0.6664 0.5000 Rb
```

Output
The value obtained for the energy relative to the elements, uncorrected is -0.611 eV per atom. Its density of states at the Fermi level is 8.15 states/eV/f.u.

Entry 5:
Compound: UAgSbAu
Source: the Alexandria database
Functional: GGA-PBE
Structure: relaxed

Geometry as POSCAR:
```
UAgSbAu
1.0
5.0393 0.0000 0.0000
2.5196 4.3641 0.0000
2.5196 1.4547 4.1145
Au Ag Sb U
1 1 1 1
Direct
0.5000 0.5000 0.5000 Au
0.2500 0.2500 0.2500 Ag
0.0000 0.0000 0.0000 Sb
0.7500 0.7500 0.7500 U
```

Output
The value obtained for the energy relative to the elements, uncorrected is -0.100 eV per atom. Its density of states at the Fermi level is 5.28 states/eV/f.u.

Entry 6:
Compound: Tb4Te3C
Source: the Alexandria database
Functional: GGA-PBE
Structure: relaxed

Geometry as POSCAR:
```
Tb4Te3C
1.0
-0.9239 -1.4785 -3.7018
7.1433 0.4118 -1.9473
-1.3110 -6.6594 2.9869
Te Tb C
3 4 1
Direct
0.0000 0.5000 0.0000 Te
0.0000 0.0000 0.5000 Te
0.5000 0.5000 0.5000 Te
0.0000 0.7999 0.7999 Tb
0.5000 0.2077 0.7923 Tb
0.0000 0.2001 0.2001 Tb
0.5000 0.7923 0.2077 Tb
0.5000 0.0000 0.0000 C
```

Output
The value obtained for the energy relative to the elements, uncorrected is -1.085 eV per atom. Its density of states at the Fermi level is 2.47 states/eV/f.u. The energy relative to the lowest polymorph listed for this composition is 0 meV per atom.

Entry 7:
Compound: La6Pr3Sm2
Source: the Alexandria database
Functional: GGA-PBE
Structure: relaxed

Geometry as POSCAR:
```
La6Pr3Sm2
1.0
-4.1679 0.8311 -2.2740
-2.4119 -1.0325 4.0434
4.0550 16.9778 3.8813
La Pr Sm
6 3 2
Direct
0.7110 0.7110 0.4221 La
0.6175 0.1175 0.2349 La
0.3825 0.8825 0.7651 La
0.2890 0.2890 0.5779 La
0.8825 0.3825 0.7651 La
0.1175 0.6175 0.2349 La
0.0000 0.0000 0.0000 Pr
0.1900 0.1900 0.3800 Pr
0.8100 0.8100 0.6200 Pr
0.5441 0.5441 0.0881 Sm
0.4559 0.4559 0.9119 Sm
```

Output
Its density of states at the Fermi level is 19.86 states/eV/f.u. The energy relative to the lowest polymorph listed for this composition is 228 meV per atom.

Entry 8:
Compound: CePa3Ir2
Source: the Alexandria database
Functional: GGA-PBE
Structure: relaxed

Geometry as POSCAR:
```
CePa3Ir2
1.0
4.7554 0.0000 0.0000
-2.3777 8.6257 0.0540
0.0000 -3.7269 6.6419
Ir Pa Ce
4 6 2
Direct
0.5143 0.0287 0.1883 Ir
0.4857 0.9713 0.8117 Ir
0.7576 0.5151 0.1612 Ir
0.2424 0.4849 0.8388 Ir
0.6203 0.2407 0.7064 Pa
0.3051 0.6101 0.5576 Pa
0.6949 0.3899 0.4424 Pa
0.3797 0.7593 0.2936 Pa
0.9391 0.8782 0.5847 Pa
0.0609 0.1218 0.4153 Pa
0.8723 0.7446 0.9440 Ce
0.1277 0.2554 0.0560 Ce
```

Output
Its density of states at the Fermi level is 11.54 states/eV/f.u. The total energy comes out at -9.1158 eV per atom.

Entry 9:
Compound: Sc2InPd5
Source: the Alexandria database
Functional: GGA-PBE
Structure: relaxed

Geometry as POSCAR:
```
Sc2InPd5
1.0
-1.4737 -1.2502 3.7160
-4.1929 -2.8895 -2.6350
6.5982 -9.1528 -0.4625
Pd Sc In
10 4 2
Direct
0.0000 0.0528 0.2499 Pd
0.5000 0.2107 0.6166 Pd
0.5000 0.7107 0.8834 Pd
0.0000 0.9472 0.7501 Pd
0.0000 0.5528 0.2501 Pd
0.0000 0.0000 0.0000 Pd
0.5000 0.7893 0.3834 Pd
0.0000 0.4472 0.7499 Pd
0.0000 0.5000 0.5000 Pd
0.5000 0.2893 0.1166 Pd
0.5000 0.6925 0.6409 Sc
0.5000 0.3075 0.3591 Sc
0.5000 0.1925 0.8591 Sc
0.5000 0.8075 0.1409 Sc
0.0000 0.0000 0.5000 In
0.0000 0.5000 0.0000 In
```

Output
Its density of states at the Fermi level is 4.48 states/eV/f.u. The total energy comes out at -5.9921 eV per atom.

Entry 10:
Compound: La2TbNpP4
Source: the Alexandria database
Functional: GGA-PBE
Structure: relaxed

Geometry as POSCAR:
```
La2TbNpP4
1.0
-1.5316 1.7078 -3.4213
-0.8376 -6.4807 -2.8601
-5.9551 1.7997 3.5642
Np La P Tb
1 2 4 1
Direct
0.5000 0.5000 0.0000 Np
0.5000 0.0000 0.5000 La
0.0000 0.5000 0.5000 La
0.5000 0.2496 0.2327 P
0.0000 0.7395 0.2301 P
0.5000 0.7504 0.7673 P
0.0000 0.2605 0.7699 P
0.0000 0.0000 0.0000 Tb
```

Output
Its density of states at the Fermi level is 11.80 states/eV/f.u. The total energy comes out at -7.5153 eV per atom.

Entry 11:
Compound: ZrHg2CI
Source: the Alexandria database
Functional: GGA-PBE
Structure: relaxed

Geometry as POSCAR:
```
ZrHg2CI
1.0
-2.3274 4.2256 -1.4229
-0.1104 -1.4997 -4.2732
-4.4571 -2.1608 0.8734
Hg Zr I C
2 1 1 1
Direct
0.5000 0.0000 0.0000 Hg
0.0000 0.0000 0.5000 Hg
0.0000 0.5000 0.0000 Zr
0.5000 0.5000 0.5000 I
0.0000 0.0000 0.0000 C
```

Output
The value obtained for the energy relative to the elements, uncorrected is 0.552 eV per atom. Its density of states at the Fermi level is 3.13 states/eV/f.u. The energy relative to the lowest polymorph listed for this composition is 0 meV per atom.

Entry 12:
Compound: EuAlGa
Source: the Alexandria database
Functional: GGA-PBE
Structure: relaxed

Geometry as POSCAR:
```
EuAlGa
1.0
-4.1602 -1.7521 1.3914
-0.2122 -4.2724 2.0036
-0.9717 -0.4034 4.6050
Eu Al Ga
1 1 1
Direct
0.5000 0.5000 0.5000 Eu
0.0000 0.0000 0.0000 Al
0.2500 0.2500 0.2500 Ga
```

Output
Its density of states at the Fermi level is 8.76 states/eV/f.u. The total energy comes out at -6.0053 eV per atom.

Which value of density of states at the Fermi level does entry 5 give?
5.28 states/eV/f.u.

What is the density of states at the Fermi level in the first record?
8.62 states/eV/f.u.

density of states at the Fermi level of number 9 (Sc2InPd5)?
4.48 states/eV/f.u.